5
Lattice="-1.736 -2.765 3.006 4.072 -1.416 1.049 0.306 3.169 3.091" Properties=species:S:1:pos:R:3 comment="NpFe4, relaxed, DFT PBE" e_form_mev_per_atom=1347 mass_density_g_cm3=8.75 e_tot_ev_per_atom=-8.011 sg="No. 221" pbc="T T T"
Fe 2.189 0.876 2.070
Fe -0.715 0.202 3.048
Fe 0.000 0.000 0.000
Fe 1.168 -2.090 2.027
Np 1.321 -0.506 3.573

---

5
Lattice="3.268 0.000 0.000 0.000 5.630 0.000 0.000 0.000 3.268" Properties=species:S:1:pos:R:3 comment="Be2TlHO, relaxed, DFT PBE" e_above_lowest_polymorph_mev_per_atom=0 mass_density_g_cm3=6.61 e_tot_ev_per_atom=-3.944 sg="No. 123" pbc="T T T"
O 0.000 0.000 0.000
Be 1.634 0.000 0.000
Be 0.000 0.000 1.634
H 0.000 2.815 0.000
Tl 1.634 2.815 1.634